(1)
VASP calculation (PBE) on crystalline Dy2TmRh2 at its relaxed geometry.

## Properties
- N(E_F) (states/eV per atom) = 0.6662
- VASP energy (eV/atom) = -6.427
- volume (A^3/atom) = 23.53
- energy relative to the elements (eV per atom) = -0.751
- excess energy over the best structure of this formula in the dataset (eV per formula unit) = 0.000

POSCAR file:
```
Dy2TmRh2
1.0
6.946 0.000 0.088
0.000 6.834 0.000
-0.699 0.000 9.903
Rh Tm Dy
8 4 8
Direct
0.301 0.050 0.537
0.273 0.999 0.836
0.199 0.550 0.463
0.801 0.450 0.537
0.773 0.501 0.836
0.227 0.499 0.164
0.727 0.001 0.164
0.699 0.950 0.463
0.006 0.815 0.628
0.994 0.185 0.372
0.506 0.685 0.628
0.494 0.315 0.372
0.529 0.749 0.979
0.029 0.751 0.979
0.366 0.839 0.295
0.866 0.661 0.295
0.634 0.161 0.705
0.471 0.251 0.021
0.971 0.249 0.021
0.134 0.339 0.705
```

(2)
VASP calculation (PBE) on crystalline Dy5TmRh6 at its relaxed geometry.

## Properties
- N(E_F) (states/eV per atom) = 0.5730
- VASP energy (eV/atom) = -6.857
- volume (A^3/atom) = 19.95
- energy relative to the elements (eV per atom) = -0.891

POSCAR file:
```
Dy5TmRh6
1.0
-3.497 -2.530 -2.146
4.088 -5.507 -0.170
-4.242 -3.316 5.407
Rh Dy Tm
6 5 1
Direct
0.834 0.249 0.332
0.500 0.248 0.000
0.166 0.249 0.668
0.166 0.751 0.668
0.500 0.752 0.000
0.834 0.751 0.332
0.000 0.500 0.000
0.666 0.000 0.668
0.334 0.000 0.332
0.667 0.500 0.667
0.333 0.500 0.333
0.000 0.000 0.000
```

(3)
VASP calculation (PBE) on crystalline Dy3TmRh8 at its relaxed geometry.

## Properties
- N(E_F) (states/eV per atom) = 0.5985
- VASP energy (eV/atom) = -7.179
- volume (A^3/atom) = 17.82
- energy relative to the elements (eV per atom) = -0.755

POSCAR file:
```
Dy3TmRh8
1.0
5.101 0.000 1.540
2.318 4.544 1.540
-0.001 -0.001 9.224
Tm Dy Rh
1 3 8
Direct
0.875 0.875 0.376
0.375 0.375 0.875
0.000 0.000 0.000
0.500 0.500 0.499
0.687 0.687 0.938
0.437 0.937 0.188
0.438 0.938 0.687
0.937 0.437 0.188
0.938 0.438 0.687
0.437 0.437 0.188
0.938 0.938 0.687
0.188 0.188 0.437
```

(4)
VASP calculation (PBE) on crystalline DyTm4Rh4 at its relaxed geometry.

## Properties
- N(E_F) (states/eV per atom) = 0.6197
- VASP energy (eV/atom) = -6.464
- volume (A^3/atom) = 23.48
- energy relative to the elements (eV per atom) = -0.698

POSCAR file:
```
DyTm4Rh4
1.0
-4.358 2.341 -2.521
-5.035 -2.013 6.835
1.967 7.651 3.702
Rh Tm Dy
8 8 2
Direct
0.594 0.221 0.625
0.094 0.875 0.721
0.406 0.625 0.779
0.094 0.125 0.279
0.906 0.721 0.125
0.594 0.779 0.375
0.406 0.375 0.221
0.906 0.279 0.875
0.408 0.678 0.089
0.908 0.589 0.822
0.408 0.322 0.911
0.592 0.089 0.322
0.592 0.911 0.678
0.092 0.822 0.411
0.908 0.411 0.178
0.092 0.178 0.589
0.500 0.500 0.500
0.000 0.000 0.000
```

(5)
VASP calculation (PBE) on crystalline DyTmRh at its relaxed geometry.

## Properties
- N(E_F) (states/eV per atom) = 0.9202
- VASP energy (eV/atom) = -6.061
- volume (A^3/atom) = 24.18
- energy relative to the elements (eV per atom) = -0.586
- excess energy over the best structure of this formula in the dataset (eV per formula unit) = 0.189

POSCAR file:
```
DyTmRh
1.0
4.341 0.015 -1.103
-0.297 4.331 -1.103
-0.311 -0.334 7.884
Rh Dy Tm
2 2 2
Direct
0.127 0.127 0.754
0.873 0.873 0.246
0.685 0.685 0.870
0.315 0.315 0.130
0.500 0.000 0.500
0.000 0.500 0.500
```

(6)
VASP calculation (PBE) on crystalline DyTm5Rh6 at its relaxed geometry.

## Properties
- N(E_F) (states/eV per atom) = 0.5135
- VASP energy (eV/atom) = -6.877
- volume (A^3/atom) = 19.41
- energy relative to the elements (eV per atom) = -0.955

POSCAR file:
```
DyTm5Rh6
1.0
0.260 1.376 4.561
-0.866 -6.457 1.998
7.226 -0.296 2.174
Tm Rh Dy
5 6 1
Direct
0.333 0.000 0.335
0.000 0.500 0.000
0.333 0.500 0.334
0.667 0.500 0.666
0.667 0.000 0.665
0.500 0.252 0.000
0.500 0.748 0.000
0.167 0.251 0.665
0.167 0.749 0.665
0.833 0.749 0.335
0.833 0.251 0.335
0.000 0.000 0.000
```

(7)
VASP calculation (PBE) on crystalline DyTmRh at its relaxed geometry.

## Properties
- N(E_F) (states/eV per atom) = 0.8627
- VASP energy (eV/atom) = -6.003
- volume (A^3/atom) = 26.69
- energy relative to the elements (eV per atom) = -0.528
- excess energy over the best structure of this formula in the dataset (eV per formula unit) = 0.362

POSCAR file:
```
DyTmRh
1.0
-0.604 4.296 -3.403
0.730 -4.647 -5.996
-7.540 -1.107 -0.059
Dy Tm Rh
4 4 4
Direct
0.000 0.744 0.500
0.500 0.500 0.256
0.000 0.256 0.500
0.500 0.500 0.744
0.000 0.224 0.000
0.500 0.000 0.776
0.500 0.000 0.224
0.000 0.776 0.000
0.500 0.218 0.500
0.000 0.500 0.782
0.000 0.500 0.218
0.500 0.782 0.500
```

(8)
VASP calculation (PBE) on crystalline DyTmRh2 at its relaxed geometry.

## Properties
- N(E_F) (states/eV per atom) = 0.3890
- VASP energy (eV/atom) = -6.867
- volume (A^3/atom) = 19.66
- energy relative to the elements (eV per atom) = -0.923

POSCAR file:
```
DyTmRh2
1.0
4.809 0.000 0.000
2.405 4.165 0.000
2.405 1.388 3.927
Rh Dy Tm
2 1 1
Direct
0.000 0.000 0.000
0.500 0.500 0.500
0.250 0.250 0.250
0.750 0.750 0.750
```

(9)
VASP calculation (PBE) on crystalline Dy2TmRh at its relaxed geometry.

## Properties
- N(E_F) (states/eV per atom) = 1.0943
- VASP energy (eV/atom) = -5.764
- volume (A^3/atom) = 26.19
- energy relative to the elements (eV per atom) = -0.507
- excess energy over the best structure of this formula in the dataset (eV per formula unit) = 0.128

POSCAR file:
```
Dy2TmRh
1.0
3.800 -0.157 0.000
-1.659 5.950 0.000
0.000 0.000 9.376
Dy Rh Tm
4 2 2
Direct
0.138 0.276 0.067
0.862 0.724 0.567
0.862 0.724 0.933
0.138 0.276 0.433
0.256 0.510 0.750
0.744 0.490 0.250
0.577 0.153 0.750
0.423 0.847 0.250
```

(10)
VASP calculation (PBE) on crystalline Dy4TmRh5 at its relaxed geometry.

## Properties
- N(E_F) (states/eV per atom) = 0.6199
- VASP energy (eV/atom) = -6.851
- volume (A^3/atom) = 19.93
- energy relative to the elements (eV per atom) = -0.887

POSCAR file:
```
Dy4TmRh5
1.0
-0.244 3.339 -0.485
-3.162 -0.057 1.201
6.061 2.778 16.084
Rh Dy Tm
5 4 1
Direct
0.500 0.500 0.903
0.500 0.500 0.500
0.500 0.500 0.097
0.500 0.500 0.299
0.500 0.500 0.701
0.000 0.000 0.601
0.000 0.000 0.199
0.000 0.000 0.399
0.000 0.000 0.801
0.000 0.000 0.000
```

(11)
VASP calculation (PBE) on crystalline Dy2Tm3Rh2 at its relaxed geometry.

## Properties
- N(E_F) (states/eV per atom) = 0.9686
- VASP energy (eV/atom) = -5.946
- volume (A^3/atom) = 25.31
- energy relative to the elements (eV per atom) = -0.614

POSCAR file:
```
Dy2Tm3Rh2
1.0
-0.071 -2.921 2.368
-1.086 -2.204 -5.738
8.511 1.361 1.935
Tm Dy Rh
3 2 2
Direct
0.383 0.767 0.569
0.617 0.233 0.431
0.500 0.000 0.000
0.835 0.670 0.193
0.165 0.330 0.807
0.175 0.350 0.240
0.825 0.650 0.760
```

(12)
VASP calculation (PBE) on crystalline DyTmRh2 at its relaxed geometry.

## Properties
- N(E_F) (states/eV per atom) = 0.0669
- VASP energy (eV/atom) = -6.559
- volume (A^3/atom) = 21.74
- energy relative to the elements (eV per atom) = -0.615

POSCAR file:
```
DyTmRh2
1.0
3.931 0.000 0.000
1.966 3.404 0.000
1.966 1.135 6.499
Rh Tm Dy
2 1 1
Direct
0.748 0.748 0.756
0.252 0.252 0.244
0.000 0.000 0.000
0.500 0.500 0.500
```